1.
DFT (GGA-PBEsol) results for a relaxed Y2CuSnC crystal.

Cell lengths 4.3735, 4.8114, 4.8114 Å; angles 90.00, 90.00, 90.00 degrees
Closest atoms and distances in Å follow each position.
Atoms (fractional coordinates):
Y 0.0000 0.0000 0.5000  2 C 2.41
Y 0.0000 0.5000 0.0000  2 C 2.41
C 0.0000 0.0000 0.0000  2 Sn 2.19, 4 Y 2.41
Sn 0.5000 0.0000 0.0000  2 C 2.19
Cu 0.5000 0.5000 0.5000  8 Y 3.25, 4 Sn 3.40

Results
Space group: No. 123



2.
DFT (GGA-PBEsol) results for a relaxed SrCuC3 crystal.

Cell lengths 3.9780, 3.9780, 3.9780 Å; angles 90.00, 90.00, 90.00 degrees
Closest atoms and distances in Å follow each position.
Atoms (fractional coordinates):
C 0.0000 0.5000 0.0000  2 Cu 1.99
Cu 0.0000 0.0000 0.0000  6 C 1.99
C 0.0000 0.0000 0.5000  2 Cu 1.99
Sr 0.5000 0.5000 0.5000  12 C 2.81
C 0.5000 0.0000 0.0000  2 Cu 1.99

Results
Space group: No. 221



3.
DFT (GGA-PBEsol) results for a relaxed Cu3TcC crystal.

Cell lengths 3.8214, 3.8214, 3.8214 Å; angles 90.00, 90.00, 90.00 degrees
Closest atoms and distances in Å follow each position.
Atoms (fractional coordinates):
C 0.0000 0.0000 0.0000  6 Cu 1.91
Tc 0.5000 0.5000 0.5000  12 Cu 2.70
Cu 0.0000 0.5000 0.0000  2 C 1.91
Cu 0.5000 0.0000 0.0000  2 C 1.91
Cu 0.0000 0.0000 0.5000  2 C 1.91

Results
Space group: No. 221



Number 1: DFT formation energy -0.03 eV per atom, V 20.2 Å³/atom. Number 2: DFT formation energy 1.98 eV per atom, V 12.6 Å³/atom. Number 3: DFT formation energy 0.80 eV per atom, V 11.2 Å³/atom.